1.
Computed, not measured: an optimized crystal structure of ErGe2PdRh at the PBE level of DFT.

Cell lengths 4.151, 4.151, 5.962 Å; angles 110.37, 110.37, 90.00 degrees
Atoms (fractional coordinates):
1 Er 0.000 0.000 0.000
2 Ge 0.617 0.617 0.234
3 Ge 0.383 0.383 0.766
4 Pd 0.250 0.750 0.500
5 Rh 0.750 0.250 0.500

Symmetry   No. 119

---

2.
Computed, not measured: an optimized crystal structure of SmErGe2Pd5 at the PBE level of DFT.

Cell lengths 4.249, 4.249, 9.118 Å; angles 90.00, 90.00, 90.00 degrees
Atoms (fractional coordinates):
1 Sm 0.000 0.000 0.500
2 Er 0.000 0.000 0.000
3 Ge 0.500 0.500 0.133
4 Ge 0.500 0.500 0.867
5 Pd 0.000 0.500 0.272
6 Pd 0.500 0.000 0.272
7 Pd 0.000 0.500 0.728
8 Pd 0.500 0.000 0.728
9 Pd 0.500 0.500 0.500

Symmetry   No. 123

---

For each record above, in turn, the calculated E_form values are -3.9; -7.2 eV/f.u..